Material: MnZn2Cd
Method: DFT, PBE
State: optimized geometry

Structure (POSCAR):
```
MnZn2Cd
1.0
-3.410 1.904 -0.811
-2.057 -2.944 1.736
-2.195 3.935 8.656
Zn Mn Cd
4 2 2
Cartesian
-2.853 1.759 1.894
-2.344 -0.571 3.128
-3.746 2.489 6.882
-6.379 2.114 7.259
-2.733 -0.520 0.462
-3.492 0.236 5.427
0.000 0.000 0.000
-4.169 2.660 4.154
```

Formation enthalpy at 0 K   0.347 eV/atom